# 1
Material: Ba2SnTe4Pb
Method: DFT, GGA-PBE
State: optimized geometry

a = 4.8011 Å, b = 8.3517 Å, c = 8.3160 Å
α = 70.62°, β = 90.00°, γ = 90.00°
With the nearest neighbours (Å) after each atom.
Fractional coordinates of all 8 atoms:
Ba: 0.0000 0.0000 0.0000  6 Te 3.48
Ba: 0.5000 0.0000 0.5000  6 Te 3.51
Sn: 0.5000 0.5000 0.0000  6 Te 3.29
Te: 0.0000 0.7285 0.7603  2 Sn 3.29, 1 Pb 3.33, 3 Ba 3.48-3.51
Te: 0.0000 0.2715 0.2397  2 Sn 3.29, 1 Pb 3.33, 3 Ba 3.48-3.51
Te: 0.5000 0.7301 0.2535  1 Sn 3.29, 2 Pb 3.32, 3 Ba 3.48-3.51
Te: 0.5000 0.2699 0.7465  1 Sn 3.29, 2 Pb 3.32, 3 Ba 3.48-3.51
Pb: 0.0000 0.5000 0.5000  6 Te 3.32-3.33

volume = 39.32 A^3/atom
crystal system = monoclinic
ΔE_f (raw) = -1025 meV/atom
SG = P2/m, No. 10



# 2
Material: ReMo2Rh
Method: DFT, GGA-PBE
State: optimized geometry

a = 4.4378 Å, b = 4.4378 Å, c = 4.4378 Å
α = 60.00°, β = 60.00°, γ = 60.00°
With the nearest neighbours (Å) after each atom.
Fractional coordinates of all 4 atoms:
Re: 0.5000 0.5000 0.5000  8 Mo 2.72
Mo: 0.2500 0.2500 0.2500  4 Re 2.72, 4 Rh 2.72
Mo: 0.7500 0.7500 0.7500  4 Rh 2.72, 4 Re 2.72
Rh: 0.0000 0.0000 0.0000  8 Mo 2.72

formation enthalpy at 0 K = 0.208 eV/atom
volume = 15.45 A^3/atom
crystal system = cubic
E above lowest polymorph = 211.9 meV/atom
SG = Fm-3m, No. 225



# 3
Material: SmY5Cd6
Method: DFT, GGA-PBE
State: optimized geometry

a = 5.3094 Å, b = 7.5435 Å, c = 8.4118 Å
α = 90.00°, β = 71.60°, γ = 90.00°
With the nearest neighbours (Å) after each atom.
Fractional coordinates of all 12 atoms:
Y: 0.6653 0.5000 0.6693  8 Cd 3.23-3.25
Y: 0.3324 0.0000 0.3352  8 Cd 3.25-3.28
Y: 0.0000 0.5000 0.0000  8 Cd 3.25-3.26
Y: 0.6676 0.0000 0.6648  8 Cd 3.25-3.28
Y: 0.3347 0.5000 0.3307  8 Cd 3.23-3.25
Sm: 0.0000 0.0000 0.0000  8 Cd 3.27-3.29
Cd: 0.8321 0.7470 0.3359  7 Y 3.24-3.27, 1 Sm 3.29
Cd: 0.8321 0.2530 0.3359  7 Y 3.24-3.27, 1 Sm 3.29
Cd: 0.5000 0.2521 0.0000  6 Y 3.23-3.28, 2 Sm 3.27
Cd: 0.5000 0.7479 0.0000  6 Y 3.23-3.28, 2 Sm 3.27
Cd: 0.1679 0.7470 0.6641  7 Y 3.24-3.27, 1 Sm 3.29
Cd: 0.1679 0.2530 0.6641  7 Y 3.24-3.27, 1 Sm 3.29

formation enthalpy at 0 K = -0.347 eV/atom
volume = 26.64 A^3/atom
crystal system = orthorhombic
SG = Cmmm, No. 65



# 4
Material: AcScAu2
Method: DFT, GGA-PBE
State: optimized geometry

a = 3.5889 Å, b = 3.5889 Å, c = 7.5270 Å
α = 90.00°, β = 90.00°, γ = 90.00°
With the nearest neighbours (Å) after each atom.
Fractional coordinates of all 4 atoms:
Sc: 0.5000 0.5000 0.0000  8 Au 2.95
Ac: 0.5000 0.5000 0.5000  8 Au 3.39, 4 Ac 3.59, 2 Sc 3.76
Au: 0.0000 0.0000 0.7995  4 Sc 2.95, 1 Au 3.02
Au: 0.0000 0.0000 0.2005  4 Sc 2.95, 1 Au 3.02

formation enthalpy at 0 K = -0.733 eV/atom
volume = 24.24 A^3/atom
crystal system = tetragonal
E above lowest polymorph = 26.3 meV/atom
SG = P4/mmm, No. 123



# 5
Material: AcPm5Sm4
Method: DFT, GGA-PBE
State: optimized geometry

a = 3.6930 Å, b = 3.6930 Å, c = 25.8337 Å
α = 90.00°, β = 90.00°, γ = 90.00°
With the nearest neighbours (Å) after each atom.
Fractional coordinates of all 10 atoms:
Ac: 0.0000 0.0000 0.0000  4 Ac 3.69, 8 Pm 3.81
Pm: 0.5000 0.5000 0.1074  4 Sm 3.64, 4 Pm 3.69, 4 Ac 3.81
Pm: 0.5000 0.5000 0.3039  8 Sm 3.64-3.65, 4 Pm 3.69
Pm: 0.5000 0.5000 0.5000  8 Sm 3.64, 4 Pm 3.69
Pm: 0.5000 0.5000 0.6961  8 Sm 3.64-3.65, 4 Pm 3.69
Pm: 0.5000 0.5000 0.8926  4 Sm 3.64, 4 Pm 3.69, 4 Ac 3.81
Sm: 0.0000 0.0000 0.2053  8 Pm 3.64-3.65, 4 Sm 3.69
Sm: 0.0000 0.0000 0.4018  8 Pm 3.64, 4 Sm 3.69
Sm: 0.0000 0.0000 0.5982  8 Pm 3.64, 4 Sm 3.69
Sm: 0.0000 0.0000 0.7947  8 Pm 3.64-3.65, 4 Sm 3.69

formation enthalpy at 0 K = 0.026 eV/atom
volume = 35.23 A^3/atom
crystal system = tetragonal
E above lowest polymorph = 0.0 meV/atom
SG = P4/mmm, No. 123



# 6
Material: CrMo2As
Method: DFT, GGA-PBE
State: optimized geometry

a = 3.2072 Å, b = 4.4979 Å, c = 4.0876 Å
α = 90.00°, β = 90.00°, γ = 90.00°
With the nearest neighbours (Å) after each atom.
Fractional coordinates of all 4 atoms:
As: 0.5000 0.0000 0.5000  4 Mo 2.60, 4 Cr 2.76
Cr: 0.0000 0.5000 0.5000  4 Mo 2.60, 4 As 2.76
Mo: 0.0000 0.0000 0.0000  4 As 2.60, 4 Mo 2.76
Mo: 0.5000 0.5000 0.0000  4 Cr 2.60, 4 Mo 2.76

formation enthalpy at 0 K = 0.148 eV/atom
volume = 14.74 A^3/atom
crystal system = orthorhombic
SG = Pmmm, No. 47



# 7
Material: ZrNb3Te
Method: DFT, GGA-PBE
State: optimized geometry

a = 5.0005 Å, b = 5.0005 Å, c = 5.0005 Å
α = 90.00°, β = 90.00°, γ = 90.00°
With the nearest neighbours (Å) after each atom.
Fractional coordinates of all 5 atoms:
Nb: 0.0000 0.5000 0.0000  2 Te 2.50
Nb: 0.0000 0.0000 0.5000  2 Te 2.50
Nb: 0.5000 0.0000 0.0000  2 Te 2.50
Te: 0.0000 0.0000 0.0000  6 Nb 2.50
Zr: 0.5000 0.5000 0.5000  12 Nb 3.54

volume = 25.01 A^3/atom
crystal system = cubic
ΔE_f (raw) = 1122 meV/atom
E above lowest polymorph = 0.0 meV/atom
SG = Pm-3m, No. 221



# 8
Material: CeTh2Sb
Method: DFT, GGA-PBE
State: optimized geometry

a = 4.8951 Å, b = 4.8409 Å, c = 4.8409 Å
α = 90.00°, β = 90.00°, γ = 90.00°
With the nearest neighbours (Å) after each atom.
Fractional coordinates of all 4 atoms:
Sb: 0.5000 0.0000 0.0000  4 Ce 3.42, 8 Th 3.44
Ce: 0.5000 0.5000 0.5000  4 Sb 3.42, 8 Th 3.44
Th: 0.0000 0.0000 0.5000  4 Th 3.42, 4 Ce 3.44, 4 Sb 3.44
Th: 0.0000 0.5000 0.0000  4 Th 3.42, 4 Ce 3.44, 4 Sb 3.44

volume = 28.68 A^3/atom
crystal system = tetragonal
ΔE_f (raw) = -436 meV/atom
E above lowest polymorph = 0.0 meV/atom
SG = P4/mmm, No. 123



# 9
Material: CaY2Co
Method: DFT, GGA-PBE
State: optimized geometry

a = 3.4405 Å, b = 3.4374 Å, c = 9.9763 Å
α = 69.94°, β = 90.00°, γ = 90.00°
With the nearest neighbours (Å) after each atom.
Fractional coordinates of all 4 atoms:
Y: 0.0000 0.0797 0.9213  4 Co 2.91, 1 Y 3.21
Y: 0.0000 0.4203 0.5787  4 Co 2.91, 1 Y 3.21
Ca: 0.5000 0.2500 0.2500  4 Ca 3.44
Co: 0.5000 0.7500 0.7500  8 Y 2.91

formation enthalpy at 0 K = -0.043 eV/atom
volume = 27.71 A^3/atom
crystal system = monoclinic
E above lowest polymorph = 52.3 meV/atom
SG = P2/m, No. 10



# 10
Material: MgPt2W
Method: DFT, GGA-PBE
State: optimized geometry

a = 4.6576 Å, b = 2.7742 Å, c = 4.8914 Å
α = 89.99°, β = 90.00°, γ = 90.00°
With the nearest neighbours (Å) after each atom.
Fractional coordinates of all 4 atoms:
Mg: 0.5000 0.6253 0.8287  8 Pt 2.75-2.88, 2 Mg 2.77, 2 W 3.02
Pt: 0.0000 0.1251 0.9224  4 Mg 2.75, 4 W 2.76-2.87, 4 Pt 2.77-3.01
Pt: 0.5000 0.1249 0.3136  4 Mg 2.75-2.88, 4 Pt 2.77-3.01, 4 W 2.78
W: 0.0000 0.6247 0.4354  8 Pt 2.76-2.87, 2 W 2.77, 2 Mg 3.02

formation enthalpy at 0 K = -0.452 eV/atom
volume = 15.80 A^3/atom
crystal system = orthorhombic
SG = Pmm2, No. 25



# 11
Material: Th3SnH
Method: DFT, GGA-PBE
State: optimized geometry

a = 4.9748 Å, b = 4.9748 Å, c = 4.9748 Å
α = 90.00°, β = 90.00°, γ = 90.00°
With the nearest neighbours (Å) after each atom.
Fractional coordinates of all 5 atoms:
H: 0.0000 0.0000 0.0000  6 Th 2.49
Sn: 0.5000 0.5000 0.5000  12 Th 3.52
Th: 0.0000 0.5000 0.0000  2 H 2.49
Th: 0.0000 0.0000 0.5000  2 H 2.49
Th: 0.5000 0.0000 0.0000  2 H 2.49

volume = 24.62 A^3/atom
crystal system = cubic
E above lowest polymorph = 0.0 meV/atom
SG = Pm-3m, No. 221



# 12
Material: YSeSBr2
Method: DFT, GGA-PBE
State: optimized geometry

a = 5.5379 Å, b = 5.5379 Å, c = 5.7008 Å
α = 90.00°, β = 90.00°, γ = 90.00°
With the nearest neighbours (Å) after each atom.
Fractional coordinates of all 5 atoms:
Y: 0.0000 0.0000 0.0000  4 Br 2.77, 2 Se 2.85
S: 0.5000 0.5000 0.5000  4 Se 3.92, 8 Br 3.97
Se: 0.0000 0.0000 0.5000  2 Y 2.85
Br: 0.0000 0.5000 0.0000  2 Y 2.77
Br: 0.5000 0.0000 0.0000  2 Y 2.77

volume = 34.97 A^3/atom
crystal system = tetragonal
ΔE_f (raw) = -493 meV/atom
E above lowest polymorph = 0.0 meV/atom
SG = P4/mmm, No. 123